Cr3CoF | PBE with a Hubbard U | relaxed

Calculated values
The calculation puts the energy above the most stable polymorph in this dataset at 0 meV per atom. Its final energy is -5.56 eV/atom. The total magnetic moment is 15.6 μB/f.u.

a = 4.453 Å, b = 4.453 Å, c = 4.453 Å
α = 90.00°, β = 90.00°, γ = 90.00°
Element x y z (fractional)
Cr: 0.000 0.000 0.500
Cr: 0.000 0.500 0.000
Cr: 0.500 0.000 0.000
Co: 0.500 0.500 0.500
F: 0.000 0.000 0.000